No. 1
A relaxed SnAu2O crystal, computed with PBE.

abc: 6.535 6.535 6.535
angles: 90.00 90.00 90.00
Space group Fm-3m (No. 225)
One atom of each set of equivalent atoms:
Sn: 0.000 0.000 0.000
Au: 0.250 0.250 0.250
O: 0.000 0.000 0.500

Summary:
* uncorrected formation energy: 0.2621 eV/atom
* distance to the lowest polymorph of the same formula: 283 meV per atom
* total moment: 0.00 μB per cell

No. 2
A relaxed SnAu2O crystal, computed with PBE.

abc: 7.354 7.354 5.211
angles: 90.00 90.00 90.00
Space group I-42d (No. 122)
One atom of each set of equivalent atoms:
Sn: 0.000 0.000 0.000
Au: 0.204 0.250 0.625
O: 0.000 0.000 0.500

Summary:
* uncorrected formation energy: -0.0210 eV/atom
* distance to the lowest polymorph of the same formula: 0 meV per atom
* total moment: 0.00 μB per cell